(1)
VASP calculation (PBE) on a relaxed TbCuAgHg crystal.

```
TbCuAgHg
1.0
-1.9598 0.7632 4.3704
2.7614 -0.2761 3.9777
1.0919 4.0237 2.4782
Tb Ag Cu Hg
1 1 1 1
Direct
0.0000 0.0000 0.0000
0.7500 0.7500 0.7500
0.2500 0.2500 0.2500
0.5000 0.5000 0.5000
```

Results
The value obtained for the formation energy is -0.193 eV/atom. For the calculated total energy, the calculation gives -3.163 eV/atom. As for the size of the total moment: 0.00 Bohr magnetons per cell.

(2)
VASP calculation (PBE) on a relaxed TiCuAgHg crystal.

```
TiCuAgHg
1.0
-2.2081 3.8254 1.1708
-3.5568 -0.1997 2.8618
0.3854 1.6532 4.2425
Ag Hg Ti Cu
1 1 1 1
Direct
0.5000 0.5000 0.5000
0.0000 0.0000 0.0000
0.2500 0.2500 0.2500
0.7500 0.7500 0.7500
```

Results
The value obtained for the formation energy is 0.089 eV/atom. For the calculated total energy, the calculation gives -3.697 eV/atom. As for the size of the total moment: 0.00 Bohr magnetons per cell.

(3)
VASP calculation (PBE) on a relaxed TlCuAgHg2 crystal.

```
TlCuAgHg2
1.0
5.4202 0.0000 0.0000
0.0000 4.9556 0.0000
0.0000 0.0000 5.4202
Ag Hg Tl Cu
1 2 1 1
Direct
0.0000 0.0000 0.0000
0.5000 0.0000 0.0000
0.0000 0.0000 0.5000
0.5000 0.5000 0.5000
0.0000 0.5000 0.0000
```

Results
The value obtained for the formation energy is 0.363 eV/atom. For the calculated total energy, the calculation gives -1.621 eV/atom. As for the size of the total moment: 0.00 Bohr magnetons per cell.

(4)
VASP calculation (PBE) on a relaxed Y4CuAg2Hg crystal.

```
Y4CuAg2Hg
1.0
5.1373 0.0000 0.0000
2.5686 4.4490 0.0000
2.5686 1.4830 8.3921
Ag Y Hg Cu
2 4 1 1
Direct
0.2519 0.2519 0.2442
0.7481 0.7481 0.7558
0.3795 0.3795 0.8616
0.1289 0.1289 0.6134
0.8711 0.8711 0.3866
0.6205 0.6205 0.1384
0.0000 0.0000 0.0000
0.5000 0.5000 0.5000
```

Results
The value obtained for the formation energy is -0.342 eV/atom. For the calculated total energy, the calculation gives -4.837 eV/atom. As for the size of the total moment: 0.00 Bohr magnetons per cell.

(5)
VASP calculation (PBE) on a relaxed YCuAgHg crystal.

```
YCuAgHg
1.0
4.8454 0.0000 0.0000
2.4227 4.1962 0.0000
2.4227 1.3987 3.9562
Y Ag Cu Hg
1 1 1 1
Direct
0.7500 0.7500 0.7500
0.5000 0.5000 0.5000
0.0000 0.0000 0.0000
0.2500 0.2500 0.2500
```

Results
The value obtained for the formation energy is -0.199 eV/atom. For the calculated total energy, the calculation gives -3.627 eV/atom. As for the size of the total moment: 0.00 Bohr magnetons per cell.

(6)
VASP calculation (PBE) on a relaxed ZnCuAgHg crystal.

```
ZnCuAgHg
1.0
4.5481 0.0000 0.0000
2.2741 3.9388 0.0000
2.2741 1.3129 3.7135
Cu Zn Hg Ag
1 1 1 1
Direct
0.2500 0.2500 0.2500
0.7500 0.7500 0.7500
0.0000 0.0000 0.0000
0.5000 0.5000 0.5000
```

Results
The value obtained for the formation energy is 0.101 eV/atom. For the calculated total energy, the calculation gives -2.030 eV/atom. As for the size of the total moment: 0.00 Bohr magnetons per cell.

(7)
VASP calculation (PBE) on a relaxed Ho2CuAg crystal.

```
Ho2CuAg
1.0
5.0150 0.0000 0.0000
2.5075 4.3431 0.0000
2.5075 1.4477 4.0947
Cu Ho Ag
1 2 1
Direct
0.5000 0.5000 0.5000
0.7500 0.7500 0.7500
0.2500 0.2500 0.2500
0.0000 0.0000 0.0000
```

Results
The value obtained for the formation energy is -0.275 eV/atom. For the calculated total energy, the calculation gives -4.301 eV/atom. As for the size of the total moment: 0.00 Bohr magnetons per cell.

(8)
VASP calculation (PBE) on a relaxed Ho6CuAg5 crystal.

```
Ho6CuAg5
1.0
-0.6100 3.2615 3.8803
-7.0085 -1.3991 0.0745
0.8854 -4.0672 6.9165
Ho Ag Cu
6 5 1
Direct
0.8366 0.7531 0.3267
0.1634 0.7531 0.6733
0.5000 0.2434 0.0000
0.1634 0.2469 0.6733
0.8366 0.2469 0.3267
0.5000 0.7566 0.0000
0.6682 0.5000 0.6636
0.0000 0.5000 0.0000
0.6687 0.0000 0.6626
0.3318 0.5000 0.3364
0.3313 0.0000 0.3374
0.0000 0.0000 0.0000
```

Results
The value obtained for the formation energy is -0.313 eV/atom. For the calculated total energy, the calculation gives -4.131 eV/atom. As for the size of the total moment: 0.00 Bohr magnetons per cell.